DFT (PBE) results for crystalline PmNd5Hg4 at its relaxed geometry.

```
data_PmNd5Hg4
_symmetry_space_group_name_H-M 'P 1'
_symmetry_Int_Tables_number 1
_symmetry_space_group_name_Hall 'P 1'
_cell_length_a 3.804
_cell_length_b 3.804
_cell_length_c 20.477
_cell_angle_alpha 90.00
_cell_angle_beta 90.00
_cell_angle_gamma 90.00
loop_
_atom_site_label
_atom_site_type_symbol
_atom_site_fract_x
_atom_site_fract_y
_atom_site_fract_z
_atom_site_occupancy
Pm1 Pm 0.000 0.000 0.000 1
Nd1 Nd 0.500 0.500 0.121 1
Nd2 Nd 0.500 0.500 0.311 1
Nd3 Nd 0.500 0.500 0.500 1
Nd4 Nd 0.500 0.500 0.689 1
Nd5 Nd 0.500 0.500 0.879 1
Hg1 Hg 0.000 0.000 0.213 1
Hg2 Hg 0.000 0.000 0.405 1
Hg3 Hg 0.000 0.000 0.595 1
Hg4 Hg 0.000 0.000 0.787 1
```

DFT formation energy: -358 kJ/mol of formula units
M_tot: 1.398 Bohr magnetons per cell


DFT (PBE) results for crystalline MnOsBr2 at its relaxed geometry.

```
data_MnOsBr2
_symmetry_space_group_name_H-M 'P 1'
_symmetry_Int_Tables_number 1
_symmetry_space_group_name_Hall 'P 1'
_cell_length_a 5.584
_cell_length_b 5.584
_cell_length_c 10.606
_cell_angle_alpha 90.00
_cell_angle_beta 90.00
_cell_angle_gamma 90.00
loop_
_atom_site_label
_atom_site_type_symbol
_atom_site_fract_x
_atom_site_fract_y
_atom_site_fract_z
_atom_site_occupancy
Mn1 Mn 0.000 0.000 0.000 1
Mn2 Mn 0.000 0.500 0.250 1
Mn3 Mn 0.500 0.000 0.750 1
Mn4 Mn 0.500 0.500 0.500 1
Os1 Os 0.000 0.000 0.500 1
Os2 Os 0.000 0.500 0.750 1
Os3 Os 0.500 0.000 0.250 1
Os4 Os 0.500 0.500 0.000 1
Br1 Br 0.230 0.250 0.125 1
Br2 Br 0.250 0.730 0.375 1
Br3 Br 0.250 0.770 0.875 1
Br4 Br 0.270 0.250 0.625 1
Br5 Br 0.730 0.750 0.625 1
Br6 Br 0.750 0.230 0.875 1
Br7 Br 0.750 0.270 0.375 1
Br8 Br 0.770 0.750 0.125 1
```

formation energy from raw total energies: 1.371 eV per atom
polymorph energy (0 for the lowest one): 1106 meV per atom
M_tot: 0.000 Bohr magnetons per cell


DFT (PBE) results for crystalline NaCdSnSb at its relaxed geometry.

```
data_NaCdSnSb
_symmetry_space_group_name_H-M 'P 1'
_symmetry_Int_Tables_number 1
_symmetry_space_group_name_Hall 'P 1'
_cell_length_a 7.589
_cell_length_b 7.589
_cell_length_c 7.589
_cell_angle_alpha 90.00
_cell_angle_beta 90.00
_cell_angle_gamma 90.00
loop_
_atom_site_label
_atom_site_type_symbol
_atom_site_fract_x
_atom_site_fract_y
_atom_site_fract_z
_atom_site_occupancy
Na1 Na 0.000 0.000 0.000 1
Na2 Na 0.000 0.500 0.500 1
Na3 Na 0.500 0.000 0.500 1
Na4 Na 0.500 0.500 0.000 1
Cd1 Cd 0.250 0.250 0.250 1
Cd2 Cd 0.250 0.750 0.750 1
Cd3 Cd 0.750 0.250 0.750 1
Cd4 Cd 0.750 0.750 0.250 1
Sn1 Sn 0.000 0.000 0.500 1
Sn2 Sn 0.000 0.500 0.000 1
Sn3 Sn 0.500 0.000 0.000 1
Sn4 Sn 0.500 0.500 0.500 1
Sb1 Sb 0.250 0.250 0.750 1
Sb2 Sb 0.250 0.750 0.250 1
Sb3 Sb 0.750 0.250 0.250 1
Sb4 Sb 0.750 0.750 0.750 1
```

formation energy from raw total energies: -0.069 eV per atom
polymorph energy (0 for the lowest one): 16 meV per atom
M_tot: 0.000 Bohr magnetons per cell